Record 1
# MgTiNi2Bi PBE optimized geometry
# Crystal system: tetragonal
# Formation energy from the elements, eV per formula unit: 3.84
data_MgTiNi2Bi
_cell_length_a 4.474
_cell_length_b 4.474
_cell_length_c 5.168
_cell_angle_alpha 90.00
_cell_angle_beta 90.00
_cell_angle_gamma 90.00
_symmetry_space_group_name_H-M 'P 4/m m m'
_symmetry_Int_Tables_number 123
_symmetry_space_group_name_Hall '-P 4 2'
loop_
_atom_site_label
_atom_site_type_symbol
_atom_site_fract_x
_atom_site_fract_y
_atom_site_fract_z
Mg1 Mg 0.000 0.000 0.000
Ti1 Ti 0.000 0.000 0.500
Ni1 Ni 0.000 0.500 0.500
Bi1 Bi 0.500 0.500 0.000

Record 2
# Sn2BiS6 PBE optimized geometry
# Crystal system: monoclinic
# Uncorrected formation energy, eV/atom: -0.128
data_Sn2BiS6
_cell_length_a 12.536
_cell_length_b 5.075
_cell_length_c 7.884
_cell_angle_alpha 90.00
_cell_angle_beta 106.65
_cell_angle_gamma 90.00
_symmetry_space_group_name_H-M 'C 1 2/m 1'
_symmetry_Int_Tables_number 12
loop_
_symmetry_equiv_pos_as_xyz
'x,y,z'
'-x,-y,-z'
'-x,y,-z'
'x,-y,z'
'x+1/2,y+1/2,z'
'-x+1/2,-y+1/2,-z'
'-x+1/2,y+1/2,-z'
'x+1/2,-y+1/2,z'
loop_
_atom_site_label
_atom_site_type_symbol
_atom_site_fract_x
_atom_site_fract_y
_atom_site_fract_z
Sn1 Sn 0.224 0.000 0.175
Bi1 Bi 0.000 0.000 0.500
S1 S 0.026 0.000 0.161
S2 S 0.133 0.500 0.545
S3 S 0.246 0.000 0.871

Record 3
# Ta5Mn3H12 PBE optimized geometry
# Crystal system: cubic
data_Ta5Mn3H12
_cell_length_a 11.021
_cell_length_b 11.021
_cell_length_c 11.021
_cell_angle_alpha 90.00
_cell_angle_beta 90.00
_cell_angle_gamma 90.00
_symmetry_space_group_name_H-M 'I a -3 d'
_symmetry_Int_Tables_number 230
_symmetry_space_group_name_Hall '-I 4bd 2c 3'
loop_
_atom_site_label
_atom_site_type_symbol
_atom_site_fract_x
_atom_site_fract_y
_atom_site_fract_z
Ta1 Ta 0.000 0.000 0.000
Ta2 Ta 0.000 0.250 0.375
Mn1 Mn 0.000 0.250 0.125
H1 H 0.001 0.069 0.157

Record 4
# LaTb9Pr2 PBE optimized geometry
# Crystal system: tetragonal
# Formation energy from the elements, eV per formula unit: 0.26
data_LaTb9Pr2
_cell_length_a 5.096
_cell_length_b 5.096
_cell_length_c 15.290
_cell_angle_alpha 90.00
_cell_angle_beta 90.00
_cell_angle_gamma 90.00
_symmetry_space_group_name_H-M 'P 4/m m m'
_symmetry_Int_Tables_number 123
_symmetry_space_group_name_Hall '-P 4 2'
loop_
_atom_site_label
_atom_site_type_symbol
_atom_site_fract_x
_atom_site_fract_y
_atom_site_fract_z
La1 La 0.000 0.000 0.000
Tb1 Tb 0.000 0.500 0.168
Tb2 Tb 0.000 0.500 0.500
Tb3 Tb 0.500 0.500 0.000
Tb4 Tb 0.500 0.500 0.334
Pr1 Pr 0.000 0.000 0.333

Record 5
# MnZn2In PBE optimized geometry
# Crystal system: cubic
# Formation energy from the elements, eV per formula unit: 0.93
data_MnZn2In
_cell_length_a 6.423
_cell_length_b 6.423
_cell_length_c 6.423
_cell_angle_alpha 90.00
_cell_angle_beta 90.00
_cell_angle_gamma 90.00
_symmetry_space_group_name_H-M 'F -4 3 m'
_symmetry_Int_Tables_number 216
_symmetry_space_group_name_Hall 'F -4 2 3'
loop_
_atom_site_label
_atom_site_type_symbol
_atom_site_fract_x
_atom_site_fract_y
_atom_site_fract_z
Mn1 Mn 0.000 0.000 0.000
Zn1 Zn 0.000 0.000 0.500
Zn2 Zn 0.250 0.250 0.250
In1 In 0.250 0.250 0.750

Record 6
# CePmPr2Bi5 PBE optimized geometry
# Crystal system: tetragonal
# Formation energy from the elements, eV per formula unit: -1.07
data_CePmPr2Bi5
_cell_length_a 5.564
_cell_length_b 5.564
_cell_length_c 12.066
_cell_angle_alpha 90.00
_cell_angle_beta 90.00
_cell_angle_gamma 90.00
_symmetry_space_group_name_H-M 'P 4/m m m'
_symmetry_Int_Tables_number 123
_symmetry_space_group_name_Hall '-P 4 2'
loop_
_atom_site_label
_atom_site_type_symbol
_atom_site_fract_x
_atom_site_fract_y
_atom_site_fract_z
Ce1 Ce 0.000 0.000 0.000
Pm1 Pm 0.000 0.000 0.500
Pr1 Pr 0.500 0.500 0.226
Bi1 Bi 0.000 0.000 0.252
Bi2 Bi 0.000 0.500 0.000
Bi3 Bi 0.500 0.500 0.500

Record 7
# Sn3Pd5Au PBE optimized geometry
# Crystal system: hexagonal
# Formation energy from the elements, eV per formula unit: -4.19
data_Sn3Pd5Au
_cell_length_a 8.0013
_cell_length_b 8.0013
_cell_length_c 5.7126
_cell_angle_alpha 90.00
_cell_angle_beta 90.00
_cell_angle_gamma 120.00
_symmetry_space_group_name_H-M 'P 63/m c m'
_symmetry_Int_Tables_number 193
_symmetry_space_group_name_Hall '-P 6c 2'
loop_
_atom_site_label
_atom_site_type_symbol
_atom_site_fract_x
_atom_site_fract_y
_atom_site_fract_z
Sn1 Sn 0.0000 0.3641 0.2500
Pd1 Pd 0.0000 0.3048 0.7500
Pd2 Pd 0.3333 0.6667 0.0000
Au1 Au 0.0000 0.0000 0.0000

Record 8
# CdHPb2O PBE optimized geometry
# Crystal system: tetragonal
# Energy above the most stable polymorph in this dataset, meV per atom: 176
data_CdHPb2O
_cell_length_a 5.108
_cell_length_b 5.108
_cell_length_c 4.555
_cell_angle_alpha 90.00
_cell_angle_beta 90.00
_cell_angle_gamma 90.00
_symmetry_space_group_name_H-M 'P 4/m m m'
_symmetry_Int_Tables_number 123
_symmetry_space_group_name_Hall '-P 4 2'
loop_
_atom_site_label
_atom_site_type_symbol
_atom_site_fract_x
_atom_site_fract_y
_atom_site_fract_z
Cd1 Cd 0.000 0.000 0.000
H1 H 0.500 0.500 0.000
Pb1 Pb 0.000 0.500 0.500
O1 O 0.000 0.000 0.500

Number 1: final energy -21.10 eV per formula unit. Number 2: final energy -37.80 eV per formula unit. Number 3: final energy -127.39 eV per formula unit. Number 4: final energy -55.90 eV per formula unit. Number 5: final energy -13.52 eV per formula unit. Number 6: final energy -40.72 eV per formula unit. Number 7: final energy -45.44 eV per formula unit. Number 8: final energy -15.42 eV per formula unit.